(1)
The following is a DFT calculation (PBE) of ScV3Ga after structural relaxation.

- energy (eV per cell) = -32.2
- space-group type = No. 221
- total magnetization (μB/atom) = 0.000
- formation energy (eV per atom) = 0.91

Cell: 4.566 4.566 4.566 Å, 90.00 90.00 90.00°
Atoms (fractional coordinates):
V1 0.000 0.500 0.000
V2 0.000 0.000 0.500
V3 0.500 0.000 0.000
Sc1 0.500 0.500 0.500
Ga1 0.000 0.000 0.000


(2)
The following is a DFT calculation (PBE) of ScVGa2 after structural relaxation.

- energy (eV per cell) = -22.0
- space-group type = No. 166
- total magnetization (μB/atom) = 0.000
- formation energy (eV per atom) = -0.12

Cell: 3.015 3.015 8.930 Å, 80.28 80.28 60.00°
Atoms (fractional coordinates):
Ga1 0.256 0.256 0.233
Ga2 0.744 0.744 0.767
Sc1 0.500 0.500 0.500
V1 0.000 0.000 0.000


(3)
The following is a DFT calculation (PBE) of ScVGa2 after structural relaxation.

- energy (eV per cell) = -22.6
- space-group type = No. 123
- total magnetization (μB/atom) = 0.001
- formation energy (eV per atom) = -0.28

Cell: 3.342 3.342 5.885 Å, 90.00 90.00 90.00°
Atoms (fractional coordinates):
Ga1 0.000 0.000 0.218
Ga2 0.000 0.000 0.782
V1 0.500 0.500 0.000
Sc1 0.500 0.500 0.500


(4)
The following is a DFT calculation (PBE) of ScVGa4 after structural relaxation.

- energy (eV per cell) = -28.8
- space-group type = No. 216
- total magnetization (μB/atom) = 0.000
- formation energy (eV per atom) = -0.20

Cell: 5.150 5.150 5.150 Å, 60.00 60.00 60.00°
Atoms (fractional coordinates):
Ga1 0.625 0.625 0.625
Ga2 0.124 0.625 0.625
Ga3 0.625 0.625 0.124
Ga4 0.625 0.124 0.625
V1 0.000 0.000 0.000
Sc1 0.250 0.250 0.250


(5)
The following is a DFT calculation (PBE) of ScVZn2Ga after structural relaxation.

- energy (eV per cell) = -17.6
- space-group type = No. 123
- total magnetization (μB/atom) = 0.330
- formation energy (eV per atom) = 0.68

Cell: 4.862 4.637 4.862 Å, 90.00 90.00 90.00°
Site moments in Bohr magnetons follow the coordinates.
Atoms (fractional coordinates):
Ga1 0.500 0.500 0.500  0.00
Zn1 0.000 0.000 0.500  0.04
Zn2 0.500 0.000 0.000  0.05
Sc1 0.000 0.500 0.000  0.07
V1 0.000 0.000 0.000  1.34


(6)
The following is a DFT calculation (PBE) of ScGa2W2 after structural relaxation.

- energy (eV per cell) = -76.6
- space-group type = No. 127
- total magnetization (μB/atom) = 0.000
- formation energy (eV per atom) = 0.00

Cell: 6.932 6.932 3.417 Å, 90.00 90.00 90.00°
Atoms (fractional coordinates):
Ga1 0.871 0.629 0.000
Ga2 0.371 0.871 0.000
Ga3 0.129 0.371 0.000
Ga4 0.629 0.129 0.000
W1 0.169 0.669 0.500
W2 0.331 0.169 0.500
W3 0.831 0.331 0.500
W4 0.669 0.831 0.500
Sc1 0.000 0.000 0.000
Sc2 0.500 0.500 0.000


(7)
The following is a DFT calculation (PBE) of Sc2GaW after structural relaxation.

- energy (eV per cell) = -27.4
- space-group type = No. 166
- total magnetization (μB/atom) = 0.000
- formation energy (eV per atom) = 0.32

Cell: 10.481 10.481 10.481 Å, 16.74 16.74 16.74°
Atoms (fractional coordinates):
W1 0.500 0.500 0.500
Ga1 0.000 0.000 0.000
Sc1 0.093 0.093 0.093
Sc2 0.907 0.907 0.907


(8)
The following is a DFT calculation (PBE) of Sc2Ga2W after structural relaxation.

- energy (eV per cell) = -65.4
- space-group type = No. 127
- total magnetization (μB/atom) = 0.000
- formation energy (eV per atom) = -0.21

Cell: 6.952 6.952 3.804 Å, 90.00 90.00 90.00°
Atoms (fractional coordinates):
Sc1 0.821 0.321 0.500
Sc2 0.679 0.821 0.500
Sc3 0.321 0.179 0.500
Sc4 0.179 0.679 0.500
Ga1 0.630 0.130 0.000
Ga2 0.870 0.630 0.000
Ga3 0.370 0.870 0.000
Ga4 0.130 0.370 0.000
W1 0.500 0.500 0.000
W2 0.000 0.000 0.000


(9)
The following is a DFT calculation (PBE) of Sc3GaW after structural relaxation.

- energy (eV per cell) = -32.0
- space-group type = No. 221
- total magnetization (μB/atom) = 0.000
- formation energy (eV per atom) = 0.60

Cell: 5.059 5.059 5.059 Å, 90.00 90.00 90.00°
Atoms (fractional coordinates):
Ga1 0.500 0.500 0.500
W1 0.000 0.000 0.000
Sc1 0.000 0.000 0.500
Sc2 0.000 0.500 0.000
Sc3 0.500 0.000 0.000


(10)
The following is a DFT calculation (PBE) of ScGaW3 after structural relaxation.

- energy (eV per cell) = -36.2
- space-group type = No. 221
- total magnetization (μB/atom) = 0.000
- formation energy (eV per atom) = 2.40

Cell: 4.639 4.639 4.639 Å, 90.00 90.00 90.00°
Atoms (fractional coordinates):
W1 0.000 0.000 0.500
W2 0.500 0.000 0.000
W3 0.000 0.500 0.000
Ga1 0.500 0.500 0.500
Sc1 0.000 0.000 0.000


(11)
The following is a DFT calculation (PBE) of ScGaW3 after structural relaxation.

- energy (eV per cell) = -40.9
- space-group type = No. 221
- total magnetization (μB/atom) = 0.000
- formation energy (eV per atom) = 1.45

Cell: 4.639 4.639 4.639 Å, 90.00 90.00 90.00°
Atoms (fractional coordinates):
W1 0.500 0.000 0.000
W2 0.000 0.500 0.000
W3 0.000 0.000 0.500
Ga1 0.000 0.000 0.000
Sc1 0.500 0.500 0.500


(12)
The following is a DFT calculation (PBE) of Sc3GaW after structural relaxation.

- energy (eV per cell) = -30.3
- space-group type = No. 221
- total magnetization (μB/atom) = 0.000
- formation energy (eV per atom) = 0.93

Cell: 4.920 4.920 4.920 Å, 90.00 90.00 90.00°
Atoms (fractional coordinates):
Sc1 0.000 0.000 0.500
Sc2 0.000 0.500 0.000
Sc3 0.500 0.000 0.000
W1 0.500 0.500 0.500
Ga1 0.000 0.000 0.000


(13)
The following is a DFT calculation (PBE) of ScGaW2 after structural relaxation.

- energy (eV per cell) = -64.9
- space-group type = No. 122
- total magnetization (μB/atom) = 0.000
- formation energy (eV per atom) = 0.70

Cell: 7.560 7.560 5.942 Å, 50.50 50.50 90.00°
Atoms (fractional coordinates):
Ga1 0.000 0.000 0.000
Ga2 0.750 0.250 0.500
W1 0.666 0.125 0.250
W2 0.084 0.625 0.250
W3 0.375 0.334 0.750
W4 0.875 0.916 0.750
Sc1 0.500 0.500 0.000
Sc2 0.250 0.750 0.500


(14)
The following is a DFT calculation (PBE) of Sc2GaW after structural relaxation.

- energy (eV per cell) = -54.1
- space-group type = No. 122
- total magnetization (μB/atom) = 0.000
- formation energy (eV per atom) = 0.40

Cell: 7.508 7.508 5.990 Å, 51.19 51.19 90.00°
Atoms (fractional coordinates):
Ga1 0.250 0.750 0.500
Ga2 0.500 0.500 0.000
W1 0.750 0.250 0.500
W2 0.000 0.000 0.000
Sc1 0.621 0.125 0.250
Sc2 0.875 0.871 0.750
Sc3 0.129 0.625 0.250
Sc4 0.375 0.379 0.750